1.
Ba2UPtS5 (PBE, optimized geometry); DOS at the Fermi energy = 8.90 states/eV per cell; E_form (uncorrected) = -1.454 eV per atom
1.0
2.014 -8.934 0.000
2.014 8.934 0.000
0.000 0.000 13.069
Ba U Pt S
4 2 2 10
Cartesian
2.014 6.864 6.535
2.014 6.727 11.213
2.014 -6.727 4.679
2.014 -6.864 0.000
2.014 5.550 2.356
2.014 -5.550 8.891
2.014 1.113 7.692
2.014 -1.113 1.158
2.014 8.159 2.360
2.014 3.555 7.097
2.014 3.471 10.707
2.014 2.947 2.339
2.014 0.034 5.554
2.014 -0.034 12.089
2.014 -2.947 8.874
2.014 -3.471 4.172
2.014 -3.555 0.562
2.014 -8.159 8.895

=====

2.
Tb4DyIn2 (PBE, optimized geometry); DOS at the Fermi energy = 12.38 states/eV per cell; relative energy among the computed polymorphs = 0.0 kJ/mol of atoms; ΔE_f = -0.8 eV/f.u.
1.0
9.061 0.000 0.000
0.000 9.061 0.000
0.000 0.000 5.350
Tb Dy In
8 2 4
Cartesian
0.712 3.007 0.000
1.523 5.242 2.675
3.007 0.712 0.000
3.819 7.537 2.675
5.242 1.523 2.675
6.054 8.349 0.000
7.537 3.819 2.675
8.349 6.054 0.000
0.000 0.000 2.675
4.530 4.530 0.000
2.236 2.236 2.675
2.294 6.767 0.000
6.767 2.294 0.000
6.825 6.825 2.675

=====

3.
Ca2DyGaTe5 (PBE, optimized geometry); E_form (uncorrected) = -1.162 eV per atom
1.0
2.143 -9.893 0.000
2.143 9.893 0.000
0.000 0.000 13.455
Ca Dy Ga Te
4 2 2 10
Cartesian
2.143 7.532 6.727
2.143 7.452 1.950
2.143 -7.452 8.677
2.143 -7.532 0.000
2.143 5.852 11.379
2.143 -5.852 4.651
2.143 1.179 3.482
2.143 -1.179 10.210
2.143 9.027 11.796
2.143 4.110 6.792
2.143 3.667 2.418
2.143 2.829 11.115
2.143 0.055 7.930
2.143 -0.055 1.203
2.143 -2.829 4.387
2.143 -3.667 9.145
2.143 -4.110 0.065
2.143 -9.027 5.069

=====

4.
Ca2YCu (PBE, optimized geometry); DOS at the Fermi energy = 5.58 states/eV per cell; relative energy among the computed polymorphs = 30.5 kJ/mol of atoms; ΔE_f = 1.1 eV/f.u.
1.0
-2.385 2.385 5.167
2.385 -2.385 5.167
2.385 2.385 -5.167
Ca Y Cu
2 1 1
Cartesian
0.000 0.000 0.000
0.000 2.385 2.583
0.000 0.000 5.167
2.385 0.000 2.583